CdInMo | GGA-PBE | relaxed

Lattice parameters (Å, degrees): 5.5318 5.5318 5.5318 149.01 137.52 53.50
Atoms (fractional coordinates):
1 Cd 0.0065 0.0065 0.0000
2 In 0.3258 0.3258 0.0000
3 Mo 0.6677 0.6677 0.0000

DFT formation energy	1.55	eV/f.u.
E above lowest polymorph	0.079	eV/atom
symmetry	Imm2, No. 44
volume	19.50	Å³/atom
D(E_F)	2.03	states/eV/cell

=====

TiRu3N | GGA-PBE | relaxed

Lattice parameters (Å, degrees): 4.0271 4.0271 4.0271 90.00 90.00 90.00
Atoms (fractional coordinates):
1 Ru 0.0000 0.5000 0.0000
2 Ru 0.0000 0.0000 0.5000
3 Ru 0.5000 0.0000 0.0000
4 N 0.0000 0.0000 0.0000
5 Ti 0.5000 0.5000 0.5000

formation energy (no corrections)	-145	meV per atom
E above lowest polymorph	0.000	eV/atom
symmetry	Pm-3m, No. 221
volume	13.06	Å³/atom
D(E_F)	3.36	states/eV/cell